[1]
{
  "formula": "CoPI3",
  "functional": "PBE",
  "state": "relaxed",
  "vol_a3_per_atom": 27.318,
  "raw_formation_energy_ev_per_atom": 0.771,
  "space_group": "Pm-3m",
  "polymorph_energy_mev_per_atom": 0.0,
  "lattice": [[5.150, 0.000, 0.000], [0.000, 5.150, 0.000], [0.000, 0.000, 5.150]],
  "species": ["Co", "P", "I", "I", "I"],
  "fractional_positions": [[0.000, 0.000, 0.000], [0.500, 0.500, 0.500], [0.000, 0.000, 0.500], [0.000, 0.500, 0.000], [0.500, 0.000, 0.000]]
}

=====

[2]
{
  "formula": "Ba2AcSb2O6",
  "functional": "PBE",
  "state": "relaxed",
  "vol_a3_per_atom": 21.011,
  "raw_formation_energy_ev_per_atom": -2.046,
  "space_group": "C2/m",
  "lattice": [[5.786, -3.288, 0.000], [5.786, 3.288, 0.000], [-3.765, 0.000, 6.074]],
  "species": ["Ba", "Ba", "Ac", "Sb", "Sb", "O", "O", "O", "O", "O", "O"],
  "fractional_positions": [[0.219, 0.219, 0.169], [0.781, 0.781, 0.831], [0.000, 0.000, 0.500], [0.455, 0.455, 0.762], [0.545, 0.545, 0.238], [0.168, 0.673, 0.182], [0.237, 0.237, 0.581], [0.327, 0.832, 0.818], [0.673, 0.168, 0.182], [0.763, 0.763, 0.419], [0.832, 0.327, 0.818]]
}

=====

[3]
{
  "formula": "LiGdAlIr",
  "functional": "PBE",
  "state": "relaxed",
  "vol_a3_per_atom": 17.782,
  "ef_ev_per_atom": -0.552,
  "space_group": "F-43m",
  "lattice": [[0.000, 3.289, 3.289], [3.289, 0.000, 3.289], [3.289, 3.289, 0.000]],
  "species": ["Li", "Gd", "Al", "Ir"],
  "fractional_positions": [[0.000, 0.000, 0.000], [0.250, 0.250, 0.250], [0.750, 0.750, 0.750], [0.500, 0.500, 0.500]]
}

=====

[4]
{
  "formula": "SrLiZr3",
  "functional": "PBE",
  "state": "relaxed",
  "vol_a3_per_atom": 25.985,
  "ef_ev_per_atom": 0.810,
  "space_group": "Pm-3m",
  "polymorph_energy_mev_per_atom": 0.0,
  "lattice": [[5.065, 0.000, 0.000], [0.000, 5.065, 0.000], [0.000, 0.000, 5.065]],
  "species": ["Sr", "Li", "Zr", "Zr", "Zr"],
  "fractional_positions": [[0.000, 0.000, 0.000], [0.500, 0.500, 0.500], [0.000, 0.500, 0.500], [0.500, 0.000, 0.500], [0.500, 0.500, 0.000]]
}

=====

[5]
{
  "formula": "CePuBr4",
  "functional": "PBE",
  "state": "relaxed",
  "vol_a3_per_atom": 37.545,
  "raw_formation_energy_ev_per_atom": -1.532,
  "space_group": "P2/m",
  "polymorph_energy_mev_per_atom": 0.0,
  "lattice": [[7.061, 0.000, 0.000], [0.000, 4.084, 0.000], [-1.782, 0.000, 7.812]],
  "species": ["Ce", "Pu", "Br", "Br", "Br", "Br"],
  "fractional_positions": [[0.000, 0.000, 0.000], [0.500, 0.500, 0.000], [0.109, 0.500, 0.762], [0.395, 0.000, 0.233], [0.605, 0.000, 0.767], [0.891, 0.500, 0.238]]
}

=====

[6]
{
  "formula": "K3SbBr8",
  "functional": "PBE",
  "state": "relaxed",
  "vol_a3_per_atom": 36.546,
  "raw_formation_energy_ev_per_atom": -0.897,
  "space_group": "I4/mmm",
  "lattice": [[-3.701, 3.701, 8.002], [3.701, -3.701, 8.002], [3.701, 3.701, -8.002]],
  "species": ["K", "K", "K", "Sb", "Br", "Br", "Br", "Br", "Br", "Br", "Br", "Br"],
  "fractional_positions": [[0.000, 0.000, 0.000], [0.250, 0.750, 0.500], [0.750, 0.250, 0.500], [0.500, 0.500, 0.000], [0.157, 0.157, 0.540], [0.157, 0.617, 0.000], [0.383, 0.383, 0.540], [0.383, 0.843, 0.000], [0.617, 0.157, 0.000], [0.617, 0.617, 0.460], [0.843, 0.383, 0.000], [0.843, 0.843, 0.460]]
}

=====

[7]
{
  "formula": "La4SnPb2",
  "functional": "PBE",
  "state": "relaxed",
  "vol_a3_per_atom": 41.633,
  "ef_ev_per_atom": -0.216,
  "space_group": "I4/mmm",
  "polymorph_energy_mev_per_atom": 328.9,
  "lattice": [[-2.921, 2.921, 8.539], [2.921, -2.921, 8.539], [2.921, 2.921, -8.539]],
  "species": ["La", "La", "La", "La", "Sn", "Pb", "Pb"],
  "fractional_positions": [[0.000, 0.500, 0.500], [0.184, 0.184, 0.000], [0.500, 0.000, 0.500], [0.816, 0.816, 0.000], [0.000, 0.000, 0.000], [0.374, 0.374, 0.000], [0.626, 0.626, 0.000]]
}

=====

[8]
{
  "formula": "Fe2RhCl6",
  "functional": "PBE",
  "state": "relaxed",
  "vol_a3_per_atom": 23.492,
  "raw_formation_energy_ev_per_atom": -0.569,
  "space_group": "C2/c",
  "lattice": [[6.020, -5.473, 0.000], [6.020, 5.473, 0.000], [-1.230, 0.000, 6.417]],
  "species": ["Fe", "Fe", "Fe", "Fe", "Rh", "Rh", "Cl", "Cl", "Cl", "Cl", "Cl", "Cl", "Cl", "Cl", "Cl", "Cl", "Cl", "Cl"],
  "fractional_positions": [[0.106, 0.286, 0.305], [0.286, 0.106, 0.805], [0.714, 0.894, 0.195], [0.894, 0.714, 0.695], [0.410, 0.590, 0.750], [0.590, 0.410, 0.250], [0.051, 0.211, 0.614], [0.134, 0.622, 0.863], [0.211, 0.051, 0.114], [0.311, 0.463, 0.382], [0.378, 0.866, 0.637], [0.463, 0.311, 0.882], [0.537, 0.689, 0.118], [0.622, 0.134, 0.363], [0.689, 0.537, 0.618], [0.789, 0.949, 0.886], [0.866, 0.378, 0.137], [0.949, 0.789, 0.386]]
}

=====

[9]
{
  "formula": "PtPb3W",
  "functional": "PBE",
  "state": "relaxed",
  "vol_a3_per_atom": 30.596,
  "ef_ev_per_atom": 1.252,
  "space_group": "Pm-3m",
  "polymorph_energy_mev_per_atom": 185.8,
  "lattice": [[5.348, 0.000, 0.000], [0.000, 5.348, 0.000], [0.000, 0.000, 5.348]],
  "species": ["Pt", "Pb", "Pb", "Pb", "W"],
  "fractional_positions": [[0.000, 0.000, 0.000], [0.000, 0.000, 0.500], [0.000, 0.500, 0.000], [0.500, 0.000, 0.000], [0.500, 0.500, 0.500]]
}

=====

[10]
{
  "formula": "CaTb2Al",
  "functional": "PBE",
  "state": "relaxed",
  "vol_a3_per_atom": 30.366,
  "ef_ev_per_atom": -0.143,
  "space_group": "P4/mmm",
  "polymorph_energy_mev_per_atom": 0.0,
  "lattice": [[3.627, 0.000, 0.000], [0.000, 3.627, 0.000], [0.000, 0.000, 9.232]],
  "species": ["Ca", "Tb", "Tb", "Al"],
  "fractional_positions": [[0.000, 0.000, 0.000], [0.500, 0.500, 0.307], [0.500, 0.500, 0.693], [0.000, 0.000, 0.500]]
}

=====

[11]
{
  "formula": "K3CaNp2Se6",
  "functional": "PBE",
  "state": "relaxed",
  "vol_a3_per_atom": 30.228,
  "raw_formation_energy_ev_per_atom": -1.404,
  "space_group": "C2/m",
  "lattice": [[3.701, -6.410, 0.000], [3.701, 6.410, 0.000], [-2.469, 0.000, 7.644]],
  "species": ["K", "K", "K", "Ca", "Np", "Np", "Se", "Se", "Se", "Se", "Se", "Se"],
  "fractional_positions": [[0.000, 0.000, 0.000], [0.337, 0.663, 0.000], [0.663, 0.337, 0.000], [0.500, 0.500, 0.500], [0.167, 0.833, 0.500], [0.833, 0.167, 0.500], [0.086, 0.431, 0.295], [0.223, 0.223, 0.704], [0.431, 0.086, 0.295], [0.569, 0.914, 0.705], [0.777, 0.777, 0.296], [0.914, 0.569, 0.705]]
}

=====

[12]
{
  "formula": "Y3NbBr",
  "functional": "PBE",
  "state": "relaxed",
  "vol_a3_per_atom": 33.866,
  "raw_formation_energy_ev_per_atom": 0.378,
  "space_group": "Pm-3m",
  "polymorph_energy_mev_per_atom": 92.0,
  "lattice": [[5.532, 0.000, 0.000], [0.000, 5.532, 0.000], [0.000, 0.000, 5.532]],
  "species": ["Y", "Y", "Y", "Nb", "Br"],
  "fractional_positions": [[0.000, 0.000, 0.500], [0.000, 0.500, 0.000], [0.500, 0.000, 0.000], [0.000, 0.000, 0.000], [0.500, 0.500, 0.500]]
}

=====

[13]
{
  "formula": "Co2H4Pd",
  "functional": "PBE",
  "state": "relaxed",
  "vol_a3_per_atom": 7.918,
  "total_energy_ev_per_atom": -4.325,
  "space_group": "I4/mmm",
  "lattice": [[-1.618, 1.618, 5.296], [1.618, -1.618, 5.296], [1.618, 1.618, -5.296]],
  "species": ["Co", "Co", "H", "H", "H", "H", "Pd"],
  "fractional_positions": [[0.181, 0.181, 0.000], [0.819, 0.819, 0.000], [0.000, 0.500, 0.500], [0.327, 0.327, 0.000], [0.500, 0.000, 0.500], [0.673, 0.673, 0.000], [0.500, 0.500, 0.000]]
}

=====

[14]
{
  "formula": "KCoBH2",
  "functional": "PBE",
  "state": "relaxed",
  "vol_a3_per_atom": 14.781,
  "total_energy_ev_per_atom": -2.421,
  "space_group": "P4/mmm",
  "lattice": [[3.631, 0.000, 0.000], [0.000, 3.631, 0.000], [0.000, 0.000, 5.607]],
  "species": ["K", "Co", "B", "H", "H"],
  "fractional_positions": [[0.000, 0.000, 0.000], [0.500, 0.500, 0.000], [0.000, 0.000, 0.500], [0.000, 0.500, 0.500], [0.500, 0.000, 0.500]]
}

=====

[15]
{
  "formula": "Sr3InRh",
  "functional": "PBE",
  "state": "relaxed",
  "vol_a3_per_atom": 35.999,
  "ef_ev_per_atom": -0.257,
  "space_group": "C2/m",
  "polymorph_energy_mev_per_atom": 0.0,
  "lattice": [[8.608, -2.237, 0.000], [8.608, 2.237, 0.000], [-5.781, 0.000, 9.348]],
  "species": ["Sr", "Sr", "Sr", "Sr", "Sr", "Sr", "In", "In", "Rh", "Rh"],
  "fractional_positions": [[0.089, 0.089, 0.447], [0.323, 0.323, 0.188], [0.367, 0.367, 0.791], [0.633, 0.633, 0.209], [0.677, 0.677, 0.812], [0.911, 0.911, 0.553], [0.070, 0.070, 0.924], [0.930, 0.930, 0.076], [0.265, 0.265, 0.458], [0.735, 0.735, 0.542]]
}

=====

[16]
{
  "formula": "LiDyLuRe",
  "functional": "PBE",
  "state": "relaxed",
  "vol_a3_per_atom": 20.518,
  "ef_ev_per_atom": 0.038,
  "space_group": "F-43m",
  "lattice": [[0.000, 3.449, 3.449], [3.449, 0.000, 3.449], [3.449, 3.449, 0.000]],
  "species": ["Li", "Dy", "Lu", "Re"],
  "fractional_positions": [[0.000, 0.000, 0.000], [0.250, 0.250, 0.250], [0.750, 0.750, 0.750], [0.500, 0.500, 0.500]]
}

=====

[17]
{
  "formula": "ThMg2AlHg2",
  "functional": "PBE",
  "state": "relaxed",
  "vol_a3_per_atom": 26.778,
  "ef_ev_per_atom": 0.205,
  "space_group": "I4/mmm",
  "lattice": [[-2.642, 2.642, 5.754], [2.642, -2.642, 5.754], [2.642, 2.642, -5.754]],
  "species": ["Th", "Mg", "Mg", "Al", "Hg", "Hg"],
  "fractional_positions": [[0.000, 0.000, 0.000], [0.250, 0.750, 0.500], [0.750, 0.250, 0.500], [0.500, 0.500, 0.000], [0.280, 0.280, 0.000], [0.720, 0.720, 0.000]]
}

=====

[18]
{
  "formula": "Ta2TcAg",
  "functional": "PBE",
  "state": "relaxed",
  "vol_a3_per_atom": 17.178,
  "ef_ev_per_atom": 0.183,
  "space_group": "Pm",
  "polymorph_energy_mev_per_atom": 119.7,
  "lattice": [[2.818, 0.000, 0.000], [0.000, 4.673, 0.000], [-0.737, 0.000, 5.217]],
  "species": ["Ta", "Ta", "Tc", "Ag"],
  "fractional_positions": [[0.000, 0.000, 0.000], [0.268, 0.500, 0.703], [0.698, 0.500, 0.175], [0.635, 0.000, 0.485]]
}

=====

[19]
{
  "formula": "CaMn2NbIr",
  "functional": "PBE",
  "state": "relaxed",
  "vol_a3_per_atom": 21.382,
  "ef_ev_per_atom": 1.524,
  "space_group": "P4/mmm",
  "polymorph_energy_mev_per_atom": 0.0,
  "lattice": [[4.511, 0.000, 0.000], [0.000, 4.511, 0.000], [0.000, 0.000, 5.254]],
  "species": ["Ca", "Mn", "Mn", "Nb", "Ir"],
  "fractional_positions": [[0.000, 0.000, 0.000], [0.000, 0.500, 0.500], [0.500, 0.000, 0.500], [0.000, 0.000, 0.500], [0.500, 0.500, 0.000]]
}

=====

[20]
{
  "formula": "SrTiGa2Pt",
  "functional": "PBE",
  "state": "relaxed",
  "vol_a3_per_atom": 27.389,
  "ef_ev_per_atom": 1.722,
  "space_group": "P4/mmm",
  "lattice": [[5.285, 0.000, 0.000], [0.000, 5.285, 0.000], [0.000, 0.000, 4.903]],
  "species": ["Sr", "Ti", "Ga", "Ga", "Pt"],
  "fractional_positions": [[0.000, 0.000, 0.000], [0.000, 0.000, 0.500], [0.000, 0.500, 0.000], [0.500, 0.000, 0.000], [0.500, 0.500, 0.500]]
}